## Mg3NiCl8 (GGA-PBE)

Data for a relaxed Mg3NiCl8 crystal.

Summary:
- Crystal system: monoclinic
- E_form (uncorrected): -18.4 eV per formula unit
- Magnetization: 3.85 μB/cell
- Raw total energy: -43.70 eV per formula unit
- Theoretical density: 2.357 Mg/m³

CIF file:
```
data_Mg3NiCl8
_symmetry_space_group_name_H-M 'C 1 2/m 1'
_symmetry_Int_Tables_number 12
_symmetry_space_group_name_Hall '-C 2y'
_cell_length_a 12.5275
_cell_length_b 7.2320
_cell_length_c 7.7352
_cell_angle_alpha 90.00
_cell_angle_beta 123.42
_cell_angle_gamma 90.00
loop_
_atom_site_label
_atom_site_type_symbol
_atom_site_fract_x
_atom_site_fract_y
_atom_site_fract_z
Mg1 Mg 0.0000 0.0000 0.0000
Mg2 Mg 0.2500 0.2500 0.0000
Ni1 Ni 0.0000 0.5000 0.0000
Cl1 Cl 0.0093 0.2582 0.7902
Cl2 Cl 0.2328 0.5000 0.2100
Cl3 Cl 0.2395 0.0000 0.2143
```